{"formula": "LaYHoLu", "functional": "PBE", "state": "relaxed", "final_energy_ha_per_atom": -0.185, "formation_enthalpy_0k_ev_per_atom": 0.099, "cell": [[-2.639, 3.200, -3.922], [-5.228, 2.047, 1.033], [-0.750, 5.586, 0.908]], "species": ["Ho", "La", "Lu", "Y"], "fractional_positions": [[0.500, 0.500, 0.500], [0.250, 0.250, 0.250], [0.000, 0.000, 0.000], [0.750, 0.750, 0.750]]}


{"formula": "Zr2TlNi", "functional": "PBE", "state": "relaxed", "de_polymorph_ev_per_atom": 0.1125, "final_energy_ha_per_atom": -0.234, "formation_enthalpy_0k_ev_per_atom": -0.066, "cell": [[8.415, 0.001, 0.001], [7.681, 3.437, 0.001], [7.681, 1.641, 3.020]], "species": ["Ni", "Tl", "Zr", "Zr"], "fractional_positions": [[0.250, 0.250, 0.250], [0.750, 0.750, 0.750], [0.981, 0.981, 0.981], [0.519, 0.519, 0.519]]}


{"formula": "Dy2CoSi4Ir3", "functional": "PBE", "state": "relaxed", "final_energy_ha_per_atom": -0.273, "cell": [[4.078, 0.000, 0.000], [0.000, 4.078, 0.000], [0.000, 0.000, 9.878]], "species": ["Si", "Ir", "Si", "Ir", "Ir", "Si", "Dy", "Co", "Si", "Dy"], "fractional_positions": [[0.000, 0.500, 0.373], [0.000, 0.500, 0.131], [0.500, 0.000, 0.627], [0.500, 0.000, 0.869], [0.000, 0.000, 0.500], [0.000, 0.000, 0.000], [0.000, 0.500, 0.750], [0.500, 0.500, 0.500], [0.500, 0.500, 0.000], [0.500, 0.000, 0.250]]}


{"formula": "PmMgInRh", "functional": "PBE", "state": "relaxed", "final_energy_ha_per_atom": -0.165, "formation_enthalpy_0k_ev_per_atom": -0.380, "cell": [[-4.888, -0.088, 0.954], [-1.628, -1.203, 4.552], [-2.031, 3.487, 2.921]], "species": ["Pm", "Mg", "Rh", "In"], "fractional_positions": [[0.250, 0.250, 0.250], [0.750, 0.750, 0.750], [0.000, 0.000, 0.000], [0.500, 0.500, 0.500]]}


Number 1: total magnetic moment 0.00 μB/f.u.. Number 2: total magnetic moment 0.00 μB/f.u.. Number 3: total magnetic moment 0.00 μB/f.u.. Number 4: total magnetic moment 0.00 μB/f.u..